Material: Ac2LaPd6Pb3
Method: DFT, PBE
State: relaxed

Lattice parameters (Å, degrees): 4.1247 4.1247 19.3061 90.00 90.00 90.00
Last column: nearest neighbours and their distance in Å.
Element x y z (fractional)
Ac 0.0000 0.0000 0.1137  4 Pd 3.01
Ac 0.0000 0.0000 0.8863  4 Pd 3.01
La 0.0000 0.0000 0.5000  8 Pd 2.97
Pd 0.0000 0.5000 0.3893  2 Pb 2.79, 4 Pd 2.92, 2 La 2.97
Pd 0.0000 0.5000 0.6107  2 Pb 2.79, 4 Pd 2.92, 2 La 2.97
Pd 0.5000 0.0000 0.3893  2 Pb 2.79, 4 Pd 2.92, 2 La 2.97
Pd 0.5000 0.0000 0.6107  2 Pb 2.79, 4 Pd 2.92, 2 La 2.97
Pd 0.5000 0.5000 0.1520  2 Pb 2.70-2.93, 4 Ac 3.01
Pd 0.5000 0.5000 0.8480  2 Pb 2.70-2.93, 4 Ac 3.01
Pb 0.5000 0.5000 0.0000  2 Pd 2.93
Pb 0.5000 0.5000 0.2918  5 Pd 2.70-2.79
Pb 0.5000 0.5000 0.7082  5 Pd 2.70-2.79

## Properties
As for the formation energy from the elements: -509 kJ/mol of formula units. The space group is P4/mmm, No. 123.

Material: AcLaPd5Pb2
Method: DFT, PBE
State: relaxed

Lattice parameters (Å, degrees): 4.7240 4.7240 9.3148 90.00 90.00 90.00
Last column: nearest neighbours and their distance in Å.
Element x y z (fractional)
Ac 0.0000 0.0000 0.0000  12 Pd 3.04-3.34
La 0.0000 0.0000 0.5000  8 Pd 3.62, 8 Pb 3.65
Pd 0.0000 0.5000 0.2055  2 Pb 2.69
Pd 0.0000 0.5000 0.7945  2 Pb 2.69
Pd 0.5000 0.0000 0.2055  2 Pb 2.69
Pd 0.5000 0.0000 0.7945  2 Pb 2.69
Pd 0.5000 0.5000 0.0000  8 Pd 3.04, 2 Pb 3.20, 4 Ac 3.34
Pb 0.5000 0.5000 0.3432  4 Pd 2.69, 1 Pb 2.92
Pb 0.5000 0.5000 0.6568  4 Pd 2.69, 1 Pb 2.92

## Properties
As for the formation energy from the elements: -467 kJ/mol of formula units. The space group is P4/mmm, No. 123.

Material: AcLaPuPb
Method: DFT, PBE
State: relaxed

Lattice parameters (Å, degrees): 5.7198 5.7198 5.7198 60.00 60.00 60.00
Last column: nearest neighbours and their distance in Å.
Element x y z (fractional)
Ac 0.0000 0.0000 0.0000  4 La 3.50, 4 Pu 3.50
La 0.7500 0.7500 0.7500  4 Ac 3.50, 4 Pb 3.50
Pu 0.2500 0.2500 0.2500  4 Ac 3.50, 4 Pb 3.50
Pb 0.5000 0.5000 0.5000  4 La 3.50, 4 Pu 3.50

## Properties
As for the formation energy from the elements: 8 kJ/mol of formula units. The space group is F-43m, No. 216.

Material: AcLaRhPb
Method: DFT, PBE
State: relaxed

Lattice parameters (Å, degrees): 5.5060 5.5060 5.5060 60.00 60.00 60.00
Last column: nearest neighbours and their distance in Å.
Element x y z (fractional)
Ac 0.0000 0.0000 0.0000  4 Pb 3.37, 4 Rh 3.37
La 0.5000 0.5000 0.5000  4 Rh 3.37, 4 Pb 3.37
Rh 0.7500 0.7500 0.7500  4 Ac 3.37, 4 La 3.37
Pb 0.2500 0.2500 0.2500  4 La 3.37, 4 Ac 3.37

## Properties
As for the formation energy from the elements: -157 kJ/mol of formula units. The space group is F-43m, No. 216.

Material: Ac3LaPb2S
Method: DFT, PBE
State: relaxed

Lattice parameters (Å, degrees): 9.6300 9.6300 9.6300 147.14 146.32 47.77
Last column: nearest neighbours and their distance in Å.
Element x y z (fractional)
Ac 0.0000 0.0000 0.0000  2 S 2.79
Ac 0.3263 0.8263 0.5000  1 S 3.06, 1 Pb 3.41
Ac 0.6737 0.1737 0.5000  1 S 3.06, 1 Pb 3.41
La 0.5000 0.5000 0.0000  2 S 2.72
Pb 0.1327 0.6327 0.5000  3 Ac 3.41-3.59, 2 La 3.64
Pb 0.8673 0.3673 0.5000  3 Ac 3.41-3.59, 2 La 3.64
S 0.5000 0.0000 0.5000  2 La 2.72, 2 Ac 2.79

## Properties
For the formation energy without anion corrections, the calculation gives -809 meV/atom. The space group is Immm, No. 71.

Material: AcLaSbPb
Method: DFT, PBE
State: relaxed

Lattice parameters (Å, degrees): 5.7502 5.7502 5.7502 60.00 60.00 60.00
Last column: nearest neighbours and their distance in Å.
Element x y z (fractional)
Ac 0.0000 0.0000 0.0000  4 Pb 3.52, 4 Sb 3.52
La 0.5000 0.5000 0.5000  4 Pb 3.52, 4 Sb 3.52
Sb 0.7500 0.7500 0.7500  4 Ac 3.52, 4 La 3.52
Pb 0.2500 0.2500 0.2500  4 Ac 3.52, 4 La 3.52

## Properties
For the formation energy without anion corrections, the calculation gives -674 meV/atom. The space group is F-43m, No. 216.

Material: AcLaScPb
Method: DFT, PBE
State: relaxed

Lattice parameters (Å, degrees): 5.6099 5.6099 5.6099 60.00 60.00 60.00
Last column: nearest neighbours and their distance in Å.
Element x y z (fractional)
Ac 0.0000 0.0000 0.0000  4 La 3.44, 4 Sc 3.44
La 0.7500 0.7500 0.7500  4 Ac 3.44, 4 Pb 3.44
Sc 0.2500 0.2500 0.2500  4 Ac 3.44, 4 Pb 3.44
Pb 0.5000 0.5000 0.5000  4 La 3.44, 4 Sc 3.44

## Properties
As for the formation energy from the elements: -27 kJ/mol of formula units. The space group is F-43m, No. 216.

Material: AcLaSiPb
Method: DFT, PBE
State: relaxed

Lattice parameters (Å, degrees): 5.5943 5.5943 5.5943 60.00 60.00 60.00
Last column: nearest neighbours and their distance in Å.
Element x y z (fractional)
Ac 0.0000 0.0000 0.0000  4 Si 3.43, 4 Pb 3.43
La 0.5000 0.5000 0.5000  4 Si 3.43, 4 Pb 3.43
Si 0.7500 0.7500 0.7500  4 Ac 3.43, 4 La 3.43
Pb 0.2500 0.2500 0.2500  4 Ac 3.43, 4 La 3.43

## Properties
For the formation energy without anion corrections, the calculation gives -343 meV/atom. The space group is F-43m, No. 216.